(A)
{
  "formula": "RhSeBr2N",
  "functional": "PBE-GGA",
  "state": "relaxed",
  "cell": [[5.080, 0.000, 0.000], [0.000, 5.080, 0.000], [0.000, 0.000, 4.705]],
  "species": ["Rh", "Se", "Br", "Br", "N"],
  "frac_coords": [[0.000, 0.000, 0.000], [0.000, 0.000, 0.500], [0.000, 0.500, 0.000], [0.500, 0.000, 0.000], [0.500, 0.500, 0.500]],
  "vol_a3_per_atom": 24.3,
  "sg": "No. 123",
  "dos_at_fermi_per_ev_atom": 1.710
}

=====

(B)
{
  "formula": "RhSeBr2N",
  "functional": "PBE-GGA",
  "state": "relaxed",
  "cell": [[4.464, 0.000, 0.000], [0.000, 4.464, 0.000], [0.000, 0.000, 4.672]],
  "species": ["Rh", "Se", "Br", "Br", "N"],
  "frac_coords": [[0.000, 0.000, 0.000], [0.500, 0.500, 0.000], [0.000, 0.500, 0.500], [0.500, 0.000, 0.500], [0.500, 0.500, 0.500]],
  "vol_a3_per_atom": 18.6,
  "sg": "No. 123",
  "dos_at_fermi_per_ev_atom": 1.036
}

=====

Which structure is most stable, and how do the rest compare? From most to least stable: (B), (A).

=====

(A)
{
  "formula": "Te2RhBrN",
  "functional": "PBE-GGA",
  "state": "relaxed",
  "cell": [[5.564, 0.000, 0.000], [0.000, 5.564, 0.000], [0.000, 0.000, 3.603]],
  "species": ["Te", "Te", "Rh", "Br", "N"],
  "frac_coords": [[0.000, 0.500, 0.000], [0.500, 0.000, 0.000], [0.000, 0.000, 0.500], [0.500, 0.500, 0.000], [0.500, 0.500, 0.500]],
  "vol_a3_per_atom": 22.3,
  "sg": "No. 123",
  "dos_at_fermi_per_ev_atom": 1.094
}

=====

(B)
{
  "formula": "Te2RhBrN",
  "functional": "PBE-GGA",
  "state": "relaxed",
  "cell": [[5.643, 0.000, 0.000], [0.000, 5.643, 0.000], [0.000, 0.000, 3.633]],
  "species": ["Te", "Te", "Rh", "Br", "N"],
  "frac_coords": [[0.000, 0.500, 0.000], [0.500, 0.000, 0.000], [0.000, 0.000, 0.000], [0.500, 0.500, 0.500], [0.000, 0.000, 0.500]],
  "vol_a3_per_atom": 23.1,
  "sg": "No. 123",
  "dos_at_fermi_per_ev_atom": 0.827
}

=====

Which structure is most stable, and how do the rest compare? From most to least stable: (B), (A).

=====

(A)
{
  "formula": "Ru2BrN",
  "functional": "PBE-GGA",
  "state": "relaxed",
  "cell": [[5.073, 0.000, 0.000], [0.000, 5.073, 0.000], [0.000, 0.000, 10.243]],
  "species": ["Ru", "Ru", "Ru", "Ru", "Ru", "Ru", "Ru", "Ru", "Br", "Br", "Br", "Br", "N", "N", "N", "N"],
  "frac_coords": [[0.145, 0.250, 0.125], [0.250, 0.645, 0.375], [0.250, 0.855, 0.875], [0.355, 0.250, 0.625], [0.645, 0.750, 0.625], [0.750, 0.145, 0.875], [0.750, 0.355, 0.375], [0.855, 0.750, 0.125], [0.000, 0.000, 0.500], [0.000, 0.500, 0.750], [0.500, 0.000, 0.250], [0.500, 0.500, 0.000], [0.000, 0.000, 0.000], [0.000, 0.500, 0.250], [0.500, 0.000, 0.750], [0.500, 0.500, 0.500]],
  "vol_a3_per_atom": 16.5,
  "sg": "No. 122",
  "dos_at_fermi_per_ev_atom": 0.478
}

=====

(B)
{
  "formula": "Ru2BrN",
  "functional": "PBE-GGA",
  "state": "relaxed",
  "cell": [[5.918, 0.000, 0.000], [0.000, 5.918, 0.000], [0.000, 0.000, 5.918]],
  "species": ["Ru", "Ru", "Ru", "Ru", "Ru", "Ru", "Ru", "Ru", "Br", "Br", "Br", "Br", "N", "N", "N", "N"],
  "frac_coords": [[0.250, 0.250, 0.250], [0.250, 0.250, 0.750], [0.250, 0.750, 0.250], [0.250, 0.750, 0.750], [0.750, 0.250, 0.250], [0.750, 0.250, 0.750], [0.750, 0.750, 0.250], [0.750, 0.750, 0.750], [0.000, 0.000, 0.000], [0.000, 0.500, 0.500], [0.500, 0.000, 0.500], [0.500, 0.500, 0.000], [0.000, 0.000, 0.500], [0.000, 0.500, 0.000], [0.500, 0.000, 0.000], [0.500, 0.500, 0.500]],
  "vol_a3_per_atom": 13.0,
  "sg": "No. 225",
  "dos_at_fermi_per_ev_atom": 0.844
}

=====

Which structure is most stable, and how do the rest compare? From most to least stable: (A), (B).

=====

(A)
{
  "formula": "RuBr3N",
  "functional": "PBE-GGA",
  "state": "relaxed",
  "cell": [[4.977, 0.000, 0.000], [0.000, 4.977, 0.000], [0.000, 0.000, 4.977]],
  "species": ["Ru", "Br", "Br", "Br", "N"],
  "frac_coords": [[0.000, 0.000, 0.000], [0.000, 0.000, 0.500], [0.000, 0.500, 0.000], [0.500, 0.000, 0.000], [0.500, 0.500, 0.500]],
  "vol_a3_per_atom": 24.7,
  "sg": "No. 221",
  "dos_at_fermi_per_ev_atom": 1.422
}

=====

(B)
{
  "formula": "RuBr3N",
  "functional": "PBE-GGA",
  "state": "relaxed",
  "cell": [[4.697, 0.000, 0.000], [0.000, 4.697, 0.000], [0.000, 0.000, 4.697]],
  "species": ["Ru", "Br", "Br", "Br", "N"],
  "frac_coords": [[0.000, 0.000, 0.000], [0.000, 0.500, 0.500], [0.500, 0.000, 0.500], [0.500, 0.500, 0.000], [0.500, 0.500, 0.500]],
  "vol_a3_per_atom": 20.7,
  "sg": "No. 221",
  "dos_at_fermi_per_ev_atom": 0.954
}

=====

Which structure is most stable, and how do the rest compare? From most to least stable: (B), (A).

=====

(A)
{
  "formula": "RuBrN2",
  "functional": "PBE-GGA",
  "state": "relaxed",
  "cell": [[3.108, 0.000, 0.000], [-1.554, 2.691, 0.000], [0.000, 0.000, 20.255]],
  "species": ["Ru", "Ru", "Ru", "Br", "Br", "Br", "N", "N", "N", "N", "N", "N"],
  "frac_coords": [[0.000, 0.000, 0.000], [0.333, 0.667, 0.667], [0.667, 0.333, 0.333], [0.000, 0.000, 0.500], [0.333, 0.667, 0.167], [0.667, 0.333, 0.833], [0.000, 0.000, 0.090], [0.000, 0.000, 0.910], [0.333, 0.667, 0.577], [0.333, 0.667, 0.757], [0.667, 0.333, 0.243], [0.667, 0.333, 0.423]],
  "vol_a3_per_atom": 14.1,
  "sg": "No. 166",
  "dos_at_fermi_per_ev_atom": 0.981
}

=====

(B)
{
  "formula": "RuBrN2",
  "functional": "PBE-GGA",
  "state": "relaxed",
  "cell": [[5.934, 0.000, 0.000], [0.000, 5.934, 0.000], [0.000, 0.000, 8.397]],
  "species": ["Ru", "Ru", "Ru", "Ru", "Br", "Br", "Br", "Br", "N", "N", "N", "N", "N", "N", "N", "N"],
  "frac_coords": [[0.000, 0.000, 0.000], [0.000, 0.500, 0.250], [0.500, 0.000, 0.750], [0.500, 0.500, 0.500], [0.000, 0.000, 0.500], [0.000, 0.500, 0.750], [0.500, 0.000, 0.250], [0.500, 0.500, 0.000], [0.001, 0.750, 0.125], [0.250, 0.001, 0.875], [0.250, 0.499, 0.375], [0.499, 0.750, 0.625], [0.501, 0.250, 0.625], [0.750, 0.501, 0.375], [0.750, 0.999, 0.875], [0.999, 0.250, 0.125]],
  "vol_a3_per_atom": 18.5,
  "sg": "No. 122",
  "dos_at_fermi_per_ev_atom": 1.136
}

=====

Which structure is most stable, and how do the rest compare? From most to least stable: (B), (A).

=====

(A)
{
  "formula": "RuBrN2",
  "functional": "PBE-GGA",
  "state": "relaxed",
  "cell": [[5.609, 0.000, 0.000], [0.000, 5.609, 0.000], [0.000, 0.000, 5.609]],
  "species": ["Ru", "Ru", "Ru", "Ru", "Br", "Br", "Br", "Br", "N", "N", "N", "N", "N", "N", "N", "N"],
  "frac_coords": [[0.000, 0.000, 0.000], [0.000, 0.500, 0.500], [0.500, 0.000, 0.500], [0.500, 0.500, 0.000], [0.000, 0.000, 0.500], [0.000, 0.500, 0.000], [0.500, 0.000, 0.000], [0.500, 0.500, 0.500], [0.250, 0.250, 0.250], [0.250, 0.250, 0.750], [0.250, 0.750, 0.250], [0.250, 0.750, 0.750], [0.750, 0.250, 0.250], [0.750, 0.250, 0.750], [0.750, 0.750, 0.250], [0.750, 0.750, 0.750]],
  "vol_a3_per_atom": 11.0,
  "sg": "No. 225",
  "dos_at_fermi_per_ev_atom": 0.420
}

=====

(B)
{
  "formula": "RuBrN2",
  "functional": "PBE-GGA",
  "state": "relaxed",
  "cell": [[3.132, 0.000, 0.000], [-1.566, 2.712, 0.000], [0.000, 0.000, 18.746]],
  "species": ["Ru", "Ru", "Ru", "Br", "Br", "Br", "N", "N", "N", "N", "N", "N"],
  "frac_coords": [[0.000, 0.000, 0.000], [0.333, 0.667, 0.667], [0.667, 0.333, 0.333], [0.000, 0.000, 0.500], [0.333, 0.667, 0.167], [0.667, 0.333, 0.833], [0.000, 0.000, 0.388], [0.000, 0.000, 0.612], [0.333, 0.667, 0.054], [0.333, 0.667, 0.279], [0.667, 0.333, 0.721], [0.667, 0.333, 0.946]],
  "vol_a3_per_atom": 13.3,
  "sg": "No. 166",
  "dos_at_fermi_per_ev_atom": 0.615
}

=====

Which structure is most stable, and how do the rest compare? From most to least stable: (B), (A).

=====

(A)
{
  "formula": "RuBr2N",
  "functional": "PBE-GGA",
  "state": "relaxed",
  "cell": [[3.235, 0.000, 0.000], [-1.617, 2.801, 0.000], [0.000, 0.000, 23.516]],
  "species": ["Ru", "Ru", "Ru", "Br", "Br", "Br", "Br", "Br", "Br", "N", "N", "N"],
  "frac_coords": [[0.000, 0.000, 0.000], [0.333, 0.667, 0.667], [0.667, 0.333, 0.333], [0.000, 0.000, 0.100], [0.000, 0.000, 0.900], [0.333, 0.667, 0.567], [0.333, 0.667, 0.767], [0.667, 0.333, 0.233], [0.667, 0.333, 0.433], [0.000, 0.000, 0.500], [0.333, 0.667, 0.167], [0.667, 0.333, 0.833]],
  "vol_a3_per_atom": 17.8,
  "sg": "No. 166",
  "dos_at_fermi_per_ev_atom": 1.070
}

=====

(B)
{
  "formula": "RuBr2N",
  "functional": "PBE-GGA",
  "state": "relaxed",
  "cell": [[3.714, 0.000, 0.000], [-1.857, 3.216, 0.000], [0.000, 0.000, 20.759]],
  "species": ["Ru", "Ru", "Ru", "Br", "Br", "Br", "Br", "Br", "Br", "N", "N", "N"],
  "frac_coords": [[0.000, 0.000, 0.000], [0.333, 0.667, 0.667], [0.667, 0.333, 0.333], [0.000, 0.000, 0.400], [0.000, 0.000, 0.600], [0.333, 0.667, 0.067], [0.333, 0.667, 0.266], [0.667, 0.333, 0.734], [0.667, 0.333, 0.933], [0.000, 0.000, 0.500], [0.333, 0.667, 0.167], [0.667, 0.333, 0.833]],
  "vol_a3_per_atom": 20.7,
  "sg": "No. 166",
  "dos_at_fermi_per_ev_atom": 1.183
}

=====

Which structure is most stable, and how do the rest compare? From most to least stable: (B), (A).